(1)
A geometry-optimized MnGaNiPd structure, computed with GGA-PBE.

Values from the calculation:
- Energy of formation: -0.323 eV/atom
- Symmetry: F-43m, No. 216
- E above lowest polymorph: 21 meV per atom

a b c (Å): 4.2588 4.2588 4.2588
angles (deg): 60.00 60.00 60.00
Closest atoms and distances in Å follow each position.
Positions (direct):
1 Mn 0.0000 0.0000 0.0000  4 Ni 2.61, 4 Pd 2.61
2 Ga 0.5000 0.5000 0.5000  4 Pd 2.61, 4 Ni 2.61
3 Ni 0.2500 0.2500 0.2500  4 Ga 2.61, 4 Mn 2.61
4 Pd 0.7500 0.7500 0.7500  4 Ga 2.61, 4 Mn 2.61

(2)
A geometry-optimized MnGa2Ni7Pd2 structure, computed with GGA-PBE.

Values from the calculation:
- Energy of formation: -0.034 eV/atom
- Symmetry: C2/m, No. 12

a b c (Å): 3.3526 3.3526 14.1478
angles (deg): 96.41 96.41 89.99
Closest atoms and distances in Å follow each position.
Positions (direct):
1 Mn 0.0000 0.0000 0.0000  12 Ni 2.37-2.51
2 Ga 0.1747 0.1747 0.3658  2 Ni 2.42-2.67, 4 Pd 2.66-2.68
3 Ga 0.8253 0.8253 0.6342  2 Ni 2.42-2.67, 4 Pd 2.66-2.68
4 Ni 0.0619 0.5618 0.1333  6 Ni 2.37-2.51, 2 Mn 2.50-2.51, 2 Pd 2.63
5 Ni 0.2686 0.2686 0.5386  2 Ga 2.42-2.67, 1 Pd 2.56, 4 Ni 2.60-2.61
6 Ni 0.4382 0.9381 0.8667  6 Ni 2.37-2.51, 2 Mn 2.50-2.51, 2 Pd 2.63
7 Ni 0.5000 0.5000 0.0000  4 Mn 2.37, 8 Ni 2.50-2.51
8 Ni 0.5618 0.0619 0.1333  6 Ni 2.37-2.51, 2 Mn 2.50-2.51, 2 Pd 2.63
9 Ni 0.7314 0.7314 0.4614  2 Ga 2.42-2.67, 1 Pd 2.56, 4 Ni 2.60-2.61
10 Ni 0.9381 0.4382 0.8667  6 Ni 2.37-2.51, 2 Mn 2.50-2.51, 2 Pd 2.63
11 Pd 0.3697 0.3697 0.7219  5 Ni 2.56-2.63, 4 Ga 2.66-2.68
12 Pd 0.6303 0.6303 0.2781  5 Ni 2.56-2.63, 4 Ga 2.66-2.68

(3)
A geometry-optimized MnGaNiPd structure, computed with GGA-PBE.

Values from the calculation:
- Energy of formation: -0.344 eV/atom
- Symmetry: I-4m2, No. 119
- E above lowest polymorph: 0 meV per atom

a b c (Å): 4.5356 4.5356 4.5356
angles (deg): 129.46 129.46 74.28
Closest atoms and distances in Å follow each position.
Positions (direct):
1 Mn 0.0000 0.0000 0.0000  4 Ni 2.65, 4 Pd 2.65, 4 Ga 2.74
2 Ga 0.5000 0.5000 0.0000  4 Ni 2.65, 4 Pd 2.65, 4 Mn 2.74
3 Ni 0.7500 0.2500 0.5000  4 Ga 2.65, 4 Mn 2.65, 4 Pd 2.74
4 Pd 0.2500 0.7500 0.5000  4 Ga 2.65, 4 Mn 2.65, 4 Ni 2.74

(4)
A geometry-optimized Pm2MnGa4Ni3 structure, computed with GGA-PBE.

Values from the calculation:
- Energy of formation: -0.486 eV/atom
- Symmetry: P-4m2, No. 115

a b c (Å): 4.0574 4.0574 10.5292
angles (deg): 90.00 90.00 90.00
Closest atoms and distances in Å follow each position.
Positions (direct):
1 Pm 0.0000 0.5000 0.2435  6 Ni 3.10-3.38, 8 Ga 3.13-3.27, 2 Mn 3.38
2 Pm 0.5000 0.0000 0.7565  6 Ni 3.10-3.38, 8 Ga 3.13-3.27, 2 Mn 3.38
3 Mn 0.0000 0.0000 0.5000  4 Ga 2.50
4 Ga 0.0000 0.0000 0.0000  4 Ni 2.45
5 Ga 0.0000 0.5000 0.6386  3 Ni 2.43-2.50, 2 Mn 2.50
6 Ga 0.5000 0.0000 0.3614  3 Ni 2.43-2.50, 2 Mn 2.50
7 Ga 0.5000 0.5000 0.0000  4 Ni 2.45
8 Ni 0.0000 0.5000 0.8692  5 Ga 2.43-2.45
9 Ni 0.5000 0.0000 0.1308  5 Ga 2.43-2.45
10 Ni 0.5000 0.5000 0.5000  4 Ga 2.50

(5)
A geometry-optimized Pm2MnGa3Ni4 structure, computed with GGA-PBE.

Values from the calculation:
- Energy of formation: -0.450 eV/atom
- Symmetry: P-4m2, No. 115

a b c (Å): 4.0708 4.0708 10.1789
angles (deg): 90.00 90.00 90.00
Closest atoms and distances in Å follow each position.
Positions (direct):
1 Pm 0.0000 0.5000 0.2469  8 Ni 3.11-3.23, 6 Ga 3.13-3.28, 2 Mn 3.28
2 Pm 0.5000 0.0000 0.7531  8 Ni 3.11-3.23, 6 Ga 3.13-3.28, 2 Mn 3.28
3 Mn 0.0000 0.0000 0.5000  4 Ni 2.47
4 Ga 0.0000 0.5000 0.8745  5 Ni 2.40-2.42
5 Ga 0.5000 0.0000 0.1255  5 Ni 2.40-2.42
6 Ga 0.5000 0.5000 0.5000  4 Ni 2.47
7 Ni 0.0000 0.0000 0.0000  4 Ga 2.40
8 Ni 0.0000 0.5000 0.6370  3 Ga 2.42-2.47, 2 Mn 2.47
9 Ni 0.5000 0.0000 0.3630  3 Ga 2.42-2.47, 2 Mn 2.47
10 Ni 0.5000 0.5000 0.0000  4 Ga 2.40

(6)
A geometry-optimized PmMnGa5Ni2 structure, computed with GGA-PBE.

Values from the calculation:
- Energy of formation: -0.204 eV/atom
- Symmetry: P4/mmm, No. 123

a b c (Å): 4.6487 4.6487 7.0844
angles (deg): 90.00 90.00 90.00
Closest atoms and distances in Å follow each position.
Positions (direct):
1 Pm 0.0000 0.0000 0.0000  12 Ga 3.19-3.29, 2 Mn 3.54
2 Mn 0.0000 0.0000 0.5000  8 Ga 2.69
3 Ga 0.0000 0.5000 0.3078  2 Ni 2.33
4 Ga 0.0000 0.5000 0.6922  2 Ni 2.33
5 Ga 0.5000 0.0000 0.3078  2 Ni 2.33
6 Ga 0.5000 0.0000 0.6922  2 Ni 2.33
7 Ga 0.5000 0.5000 0.0000  2 Ni 2.30
8 Ni 0.5000 0.5000 0.3251  5 Ga 2.30-2.33, 1 Ni 2.48
9 Ni 0.5000 0.5000 0.6749  5 Ga 2.30-2.33, 1 Ni 2.48

(7)
A geometry-optimized Pr2Mn2GaNi5 structure, computed with GGA-PBE.

Values from the calculation:
- Energy of formation: -0.068 eV/atom
- Symmetry: P4/mbm, No. 127

a b c (Å): 9.4111 9.4111 3.6248
angles (deg): 90.00 90.00 90.00
Closest atoms and distances in Å follow each position.
Positions (direct):
1 Pr 0.1834 0.3166 0.0000  3 Mn 2.66-2.89
2 Pr 0.3166 0.8166 0.0000  3 Mn 2.66-2.89
3 Pr 0.6834 0.1834 0.0000  3 Mn 2.66-2.89
4 Pr 0.8166 0.6834 0.0000  3 Mn 2.66-2.89
5 Mn 0.1168 0.6168 0.0000  6 Ni 2.39-2.55, 1 Pr 2.66
6 Mn 0.3832 0.1168 0.0000  6 Ni 2.39-2.55, 1 Pr 2.66
7 Mn 0.6168 0.8832 0.0000  6 Ni 2.39-2.55, 1 Pr 2.66
8 Mn 0.8832 0.3832 0.0000  6 Ni 2.39-2.55, 1 Pr 2.66
9 Ga 0.0000 0.0000 0.0000  8 Ni 2.68
10 Ga 0.5000 0.5000 0.0000  8 Ni 2.68
11 Ni 0.0000 0.5000 0.5000  4 Mn 2.39
12 Ni 0.0519 0.7963 0.5000  2 Mn 2.55, 2 Ga 2.68, 3 Ni 2.80-2.83
13 Ni 0.2037 0.0519 0.5000  2 Mn 2.55, 2 Ga 2.68, 3 Ni 2.80-2.83
14 Ni 0.2963 0.5519 0.5000  2 Mn 2.55, 2 Ga 2.68, 3 Ni 2.80-2.83
15 Ni 0.4481 0.2963 0.5000  2 Mn 2.55, 2 Ga 2.68, 3 Ni 2.80-2.83
16 Ni 0.5000 0.0000 0.5000  4 Mn 2.39
17 Ni 0.5519 0.7037 0.5000  2 Mn 2.55, 2 Ga 2.68, 3 Ni 2.80-2.83
18 Ni 0.7037 0.4481 0.5000  2 Mn 2.55, 2 Ga 2.68, 3 Ni 2.80-2.83
19 Ni 0.7963 0.9481 0.5000  2 Mn 2.55, 2 Ga 2.68, 3 Ni 2.80-2.83
20 Ni 0.9481 0.2037 0.5000  2 Mn 2.55, 2 Ga 2.68, 3 Ni 2.80-2.83

(8)
A geometry-optimized Pr2MnGa3Ni4 structure, computed with GGA-PBE.

Values from the calculation:
- Energy of formation: -0.431 eV/atom
- Symmetry: P-4m2, No. 115

a b c (Å): 4.1190 4.1190 10.1613
angles (deg): 90.00 90.00 90.00
Closest atoms and distances in Å follow each position.
Positions (direct):
1 Pr 0.0000 0.5000 0.2467  8 Ni 3.15-3.24, 6 Ga 3.17-3.30, 2 Mn 3.30
2 Pr 0.5000 0.0000 0.7533  8 Ni 3.15-3.24, 6 Ga 3.17-3.30, 2 Mn 3.30
3 Mn 0.0000 0.0000 0.5000  4 Ni 2.48
4 Ga 0.0000 0.5000 0.8761  5 Ni 2.41-2.45
5 Ga 0.5000 0.0000 0.1239  5 Ni 2.41-2.45
6 Ga 0.5000 0.5000 0.5000  4 Ni 2.48
7 Ni 0.0000 0.0000 0.0000  4 Ga 2.41
8 Ni 0.0000 0.5000 0.6354  3 Ga 2.45-2.48, 2 Mn 2.48
9 Ni 0.5000 0.0000 0.3646  3 Ga 2.45-2.48, 2 Mn 2.48
10 Ni 0.5000 0.5000 0.0000  4 Ga 2.41